# 1
# GGA-PBE PPt2Rh, optimized geometry
data_PPt2Rh
_chemical_formula_sum 'P3 Pt6 Rh3'
_cell_length_a 2.8765
_cell_length_b 2.8765
_cell_length_c 24.6043
_cell_angle_alpha 90.00
_cell_angle_beta 90.00
_cell_angle_gamma 120.00
_symmetry_space_group_name_H-M 'R 3 m'
_symmetry_Int_Tables_number 160
_symmetry_space_group_name_Hall 'R 3 -2"'
loop_
_atom_site_label
_atom_site_fract_x
_atom_site_fract_y
_atom_site_fract_z
P1 0.0000 0.0000 0.0000
Pt1 0.0000 0.0000 0.5045
Pt2 0.0000 0.0000 0.7414
Rh1 0.0000 0.0000 0.2662
# DFT formation energy ... -0.90 eV/f.u.
# Crystal system ... trigonal
# Mass density ... 14.807 g cm⁻³

# 2
# GGA-PBE P2PtRh, optimized geometry
data_P2PtRh
_chemical_formula_sum 'P8 Pt4 Rh4'
_cell_length_a 5.307
_cell_length_b 5.307
_cell_length_c 10.602
_cell_angle_alpha 90.00
_cell_angle_beta 90.00
_cell_angle_gamma 90.00
_symmetry_space_group_name_H-M 'I -4 2 d'
_symmetry_Int_Tables_number 122
_symmetry_space_group_name_Hall 'I -4 2bw'
loop_
_atom_site_label
_atom_site_fract_x
_atom_site_fract_y
_atom_site_fract_z
P1 0.242 0.250 0.125
Pt1 0.000 0.000 0.500
Rh1 0.000 0.000 0.000
# Energy above the lowest structure with this stoichiometry ... 6.3 kJ/mol of atoms
# DFT formation energy ... -1.54 eV/f.u.
# Crystal system ... tetragonal
# Mass density ... 8.008 g cm⁻³